Entry 1:
The following is a GGA-PBE calculation of KNd2Pb3Se6 after structural relaxation, from Alexandria.

The mass density comes out at 6.5 g/cm³. The uncorrected formation energy is -1.10 eV per atom. The size of the total moment comes out at 0.0 μB/cell. Its crystal system is monoclinic.

The space group is C2/m (No. 12) and the conventional cell measures 19.0050, 4.4554 and 8.7290 Å, with angles of 90.00, 102.07 and 90.00 degrees. Symmetry generates all atoms from K at (0.0000, 0.0000, 0.0000), Nd at (0.1674, 0.5000, 0.3332), Pb at (0.0000, 0.0000, 0.5000), Pb at (0.1597, 0.5000, 0.8497), Se at (0.0113, 0.5000, 0.2663), Se at (0.1697, 0.0000, 0.5733) and Se at (0.1777, 0.0000, 0.0999).



Entry 2:
The following is a GGA-PBE calculation of KNdPbSe3 after structural relaxation, from Alexandria.

The mass density comes out at 4.6 g/cm³. The uncorrected formation energy is -1.27 eV per atom. The size of the total moment comes out at 0.0 μB/cell. Its crystal system is monoclinic.

The space group is P2_1/m (No. 11) and the conventional cell measures 9.1045, 4.3008 and 11.5725 Å, with angles of 90.00, 98.34 and 90.00 degrees. Symmetry generates all atoms from K at (0.1499, 0.2500, 0.1512), Nd at (0.3693, 0.7500, 0.8597), Pb at (0.1457, 0.2500, 0.5975), Se at (0.1324, 0.2500, 0.8432), Se at (0.3473, 0.7500, 0.6008) and Se at (0.4083, 0.7500, 0.1200).



Entry 3:
The following is a GGA-PBE calculation of KNd2Te6Pb3 after structural relaxation, from Alexandria.

The mass density comes out at 6.7 g/cm³. The uncorrected formation energy is -0.84 eV per atom. The size of the total moment comes out at 0.0 μB/cell. Its crystal system is monoclinic.

The space group is C2/m (No. 12) and the conventional cell measures 20.2738, 4.5605 and 9.4801 Å, with angles of 90.00, 104.04 and 90.00 degrees. Symmetry generates all atoms from K at (0.0000, 0.0000, 0.0000), Nd at (0.1684, 0.5000, 0.3476), Te at (0.0081, 0.5000, 0.2666), Te at (0.1687, 0.0000, 0.5901), Te at (0.1786, 0.0000, 0.1080), Pb at (0.0000, 0.0000, 0.5000) and Pb at (0.1569, 0.5000, 0.8503).



Entry 4:
The following is a GGA-PBE calculation of KNdTlPb after structural relaxation, from Alexandria.

The mass density comes out at 7.5 g/cm³. The size of the total moment comes out at 0.0 μB/cell. Its crystal system is cubic. For the energy of formation, the calculation gives -0.16 eV per atom.

The space group is F-43m (No. 216) and the conventional cell measures 8.0615, 8.0615 and 8.0615 Å, with angles of 90.00, 90.00 and 90.00 degrees. Symmetry generates all atoms from K at (0.0000, 0.0000, 0.0000), Nd at (0.0000, 0.0000, 0.5000), Tl at (0.2500, 0.2500, 0.2500) and Pb at (0.2500, 0.2500, 0.7500).



Entry 5:
The following is a GGA-PBE calculation of KNdPd4 after structural relaxation, from Alexandria.

The mass density comes out at 8.4 g/cm³. The size of the total moment comes out at 0.0 μB/cell. Its crystal system is cubic. For the energy of formation, the calculation gives -0.44 eV per atom.

The space group is F-43m (No. 216) and the conventional cell measures 7.8312, 7.8312 and 7.8312 Å, with angles of 90.00, 90.00 and 90.00 degrees. Symmetry generates all atoms from K at (0.0000, 0.0000, 0.0000), Nd at (0.2500, 0.2500, 0.2500) and Pd at (0.1247, 0.1247, 0.6247).



Entry 6:
The following is a GGA-PBE calculation of KNd2Pd after structural relaxation, from Alexandria.

The mass density comes out at 4.0 g/cm³. The size of the total moment comes out at 0.0 μB/cell. Its crystal system is trigonal. For the energy of formation, the calculation gives -0.15 eV per atom.

The space group is R-3m (No. 166, hexagonal axes) and the conventional cell measures 4.2674, 4.2674 and 34.0228 Å, with angles of 90.00, 90.00 and 120.00 degrees. Symmetry generates all atoms from K at (0.0000, 0.0000, 0.0000), Nd at (0.0000, 0.0000, 0.1227) and Pd at (0.0000, 0.0000, 0.5000).



Entry 7:
The following is a GGA-PBE calculation of KPm2Nd after structural relaxation, from Alexandria.

The mass density comes out at 5.0 g/cm³. The size of the total moment comes out at 0.0 μB/cell. Its crystal system is trigonal. For the energy of formation, the calculation gives 0.21 eV per atom.

The space group is R-3m (No. 166, hexagonal axes) and the conventional cell measures 3.6769, 3.6769 and 40.4930 Å, with angles of 90.00, 90.00 and 120.00 degrees. Symmetry generates all atoms from K at (0.0000, 0.0000, 0.0000), Pm at (0.0000, 0.0000, 0.0945) and Nd at (0.0000, 0.0000, 0.5000).



Entry 8:
The following is a GGA-PBE calculation of KPmNd2S4 after structural relaxation, from Alexandria.

The mass density comes out at 5.0 g/cm³. The uncorrected formation energy is -1.89 eV per atom. The size of the total moment comes out at 0.0 μB/cell. Its crystal system is monoclinic.

The space group is P2/m (No. 10) and the conventional cell measures 7.1775, 4.0869 and 7.1904 Å, with angles of 90.00, 108.80 and 90.00 degrees. Symmetry generates all atoms from K at (0.0000, 0.0000, 0.0000), Pm at (0.0000, 0.5000, 0.5000), Nd at (0.5000, 0.0000, 0.5000), Nd at (0.5000, 0.5000, 0.0000), S at (0.2530, 0.0000, 0.7428) and S at (0.2639, 0.5000, 0.2661).



Entry 9:
The following is a GGA-PBE calculation of K2PmNdS4 after structural relaxation, from Alexandria.

The mass density comes out at 3.7 g/cm³. The uncorrected formation energy is -1.86 eV per atom. The size of the total moment comes out at 0.0 μB/cell. Its crystal system is monoclinic.

The space group is P2/m (No. 10) and the conventional cell measures 7.2427, 4.1810 and 7.7809 Å, with angles of 90.00, 108.05 and 90.00 degrees. Symmetry generates all atoms from K at (0.0000, 0.0000, 0.0000), K at (0.5000, 0.5000, 0.0000), Pm at (0.0000, 0.5000, 0.5000), Nd at (0.5000, 0.0000, 0.5000), S at (0.2338, 0.0000, 0.7065) and S at (0.2628, 0.5000, 0.2928).



Entry 10:
The following is a GGA-PBE calculation of K3PmNd2S6 after structural relaxation, from Alexandria.

The mass density comes out at 3.7 g/cm³. The uncorrected formation energy is -1.85 eV per atom. The size of the total moment comes out at 0.0 μB/cell. Its crystal system is monoclinic.

The space group is C2/m (No. 12) and the conventional cell measures 7.2516, 12.5604 and 7.7832 Å, with angles of 90.00, 108.10 and 90.00 degrees. Symmetry generates all atoms from K at (0.0000, 0.0000, 0.0000), K at (0.0000, 0.3332, 0.0000), Pm at (0.0000, 0.5000, 0.5000), Nd at (0.0000, 0.1666, 0.5000), S at (0.2348, 0.3342, 0.7071) and S at (0.2375, 0.0000, 0.7071).



Entry 11:
The following is a GGA-PBE calculation of KPm2NdSe4 after structural relaxation, from Alexandria.

The mass density comes out at 5.9 g/cm³. The uncorrected formation energy is -1.76 eV per atom. The size of the total moment comes out at 0.0 μB/cell. Its crystal system is monoclinic.

The space group is P2/m (No. 10) and the conventional cell measures 7.4502, 4.2262 and 7.4643 Å, with angles of 90.00, 108.64 and 90.00 degrees. Symmetry generates all atoms from K at (0.0000, 0.0000, 0.0000), Pm at (0.0000, 0.5000, 0.5000), Pm at (0.5000, 0.0000, 0.5000), Nd at (0.5000, 0.5000, 0.0000), Se at (0.2532, 0.0000, 0.7429) and Se at (0.2637, 0.5000, 0.2657).



Entry 12:
The following is a GGA-PBE calculation of KPm4NdSe8 after structural relaxation, from Alexandria.

The mass density comes out at 4.8 g/cm³. The uncorrected formation energy is -1.76 eV per atom. The size of the total moment comes out at 0.0 μB/cell. Its crystal system is trigonal.

The space group is R3m (No. 160, hexagonal axes) and the conventional cell measures 8.7826, 8.7826 and 21.6158 Å, with angles of 90.00, 90.00 and 120.00 degrees. Symmetry generates all atoms from K at (0.0000, 0.0000, 0.0000), Pm at (0.0000, 0.0000, 0.7488), Pm at (0.0115, 0.5058, 0.8755), Nd at (0.0000, 0.0000, 0.3696), Se at (0.0000, 0.0000, 0.1392), Se at (0.0000, 0.0000, 0.6165), Se at (0.0194, 0.5097, 0.1269) and Se at (0.1859, 0.3717, 0.9517).



Entry 13:
The following is a GGA-PBE calculation of KPmNd2Se4 after structural relaxation, from Alexandria.

The mass density comes out at 5.8 g/cm³. The uncorrected formation energy is -1.76 eV per atom. The size of the total moment comes out at 0.0 μB/cell. Its crystal system is monoclinic.

The space group is P2/m (No. 10) and the conventional cell measures 7.4630, 4.2408 and 7.4744 Å, with angles of 90.00, 108.70 and 90.00 degrees. Symmetry generates all atoms from K at (0.0000, 0.0000, 0.0000), Pm at (0.0000, 0.5000, 0.5000), Nd at (0.5000, 0.0000, 0.5000), Nd at (0.5000, 0.5000, 0.0000), Se at (0.2523, 0.0000, 0.7438) and Se at (0.2620, 0.5000, 0.2639).



Entry 14:
The following is a GGA-PBE calculation of K3PmNd2Se6 after structural relaxation, from Alexandria.

The mass density comes out at 4.5 g/cm³. The uncorrected formation energy is -1.76 eV per atom. The size of the total moment comes out at 0.0 μB/cell. Its crystal system is monoclinic.

The space group is C2/m (No. 12) and the conventional cell measures 7.5166, 13.0183 and 8.1057 Å, with angles of 90.00, 108.00 and 90.00 degrees. Symmetry generates all atoms from K at (0.0000, 0.0000, 0.0000), K at (0.0000, 0.3331, 0.0000), Pm at (0.0000, 0.5000, 0.5000), Nd at (0.0000, 0.1666, 0.5000), Se at (0.2360, 0.3342, 0.7105) and Se at (0.2385, 0.0000, 0.7106).



Entry 15:
The following is a GGA-PBE calculation of K3PmNd2Te6 after structural relaxation, from Alexandria.

The mass density comes out at 4.8 g/cm³. The uncorrected formation energy is -1.42 eV per atom. The size of the total moment comes out at 0.0 μB/cell. Its crystal system is monoclinic.

The space group is C2/m (No. 12) and the conventional cell measures 7.9846, 13.8300 and 8.6778 Å, with angles of 90.00, 107.86 and 90.00 degrees. Symmetry generates all atoms from K at (0.0000, 0.0000, 0.0000), K at (0.0000, 0.3327, 0.0000), Pm at (0.0000, 0.5000, 0.5000), Nd at (0.0000, 0.1666, 0.5000), Te at (0.2372, 0.3341, 0.7142) and Te at (0.2398, 0.0000, 0.7144).



Entry 16:
The following is a GGA-PBE calculation of KPmNd2Te4 after structural relaxation, from Alexandria.

The mass density comes out at 6.0 g/cm³. The uncorrected formation energy is -1.39 eV per atom. The size of the total moment comes out at 0.0 μB/cell. Its crystal system is monoclinic.

The space group is P2/m (No. 10) and the conventional cell measures 7.9494, 4.5073 and 7.9588 Å, with angles of 90.00, 108.58 and 90.00 degrees. Symmetry generates all atoms from K at (0.0000, 0.0000, 0.0000), Pm at (0.0000, 0.5000, 0.5000), Nd at (0.5000, 0.0000, 0.5000), Nd at (0.5000, 0.5000, 0.0000), Te at (0.2521, 0.0000, 0.7444) and Te at (0.2604, 0.5000, 0.2620).



Entry 17:
The following is a GGA-PBE calculation of KPm2NdTe4 after structural relaxation, from Alexandria.

The mass density comes out at 6.1 g/cm³. The uncorrected formation energy is -1.39 eV per atom. The size of the total moment comes out at 0.0 μB/cell. Its crystal system is monoclinic.

The space group is P2/m (No. 10) and the conventional cell measures 7.9389, 4.4954 and 7.9498 Å, with angles of 90.00, 108.55 and 90.00 degrees. Symmetry generates all atoms from K at (0.0000, 0.0000, 0.0000), Pm at (0.0000, 0.5000, 0.5000), Pm at (0.5000, 0.0000, 0.5000), Nd at (0.5000, 0.5000, 0.0000), Te at (0.2530, 0.0000, 0.7437) and Te at (0.2620, 0.5000, 0.2637).



Entry 18:
The following is a GGA-PBE calculation of KPm3Nd2Te6 after structural relaxation, from Alexandria.

The mass density comes out at 6.4 g/cm³. The uncorrected formation energy is -1.40 eV per atom. The size of the total moment comes out at 0.0 μB/cell. Its crystal system is monoclinic.

The space group is C2/m (No. 12) and the conventional cell measures 19.8046, 4.4881 and 9.1825 Å, with angles of 90.00, 103.71 and 90.00 degrees. Symmetry generates all atoms from K at (0.0000, 0.0000, 0.0000), Pm at (0.0000, 0.0000, 0.5000), Pm at (0.1628, 0.5000, 0.8226), Nd at (0.1700, 0.5000, 0.3443), Te at (0.0024, 0.5000, 0.2624), Te at (0.1646, 0.0000, 0.5850) and Te at (0.1726, 0.0000, 0.0837).



Entry 19:
The following is a GGA-PBE calculation of KPrNd2 after structural relaxation, from Alexandria.

The mass density comes out at 4.8 g/cm³. The size of the total moment comes out at 0.0 μB/cell. Its crystal system is trigonal. For the energy of formation, the calculation gives 0.20 eV per atom.

The space group is R-3m (No. 166, hexagonal axes) and the conventional cell measures 3.7049, 3.7049 and 40.7502 Å, with angles of 90.00, 90.00 and 120.00 degrees. Symmetry generates all atoms from K at (0.0000, 0.0000, 0.0000), Pr at (0.0000, 0.0000, 0.5000) and Nd at (0.0000, 0.0000, 0.0943).



Entry 20:
The following is a GGA-PBE calculation of K3Pr2NdS6 after structural relaxation, from Alexandria.

The mass density comes out at 3.6 g/cm³. The uncorrected formation energy is -1.84 eV per atom. The size of the total moment comes out at 0.0 μB/cell. Its crystal system is monoclinic.

The space group is C2/m (No. 12) and the conventional cell measures 7.3080, 12.6571 and 7.7930 Å, with angles of 90.00, 108.21 and 90.00 degrees. Symmetry generates all atoms from K at (0.0000, 0.0000, 0.0000), K at (0.0000, 0.3331, 0.0000), Pr at (0.0000, 0.1666, 0.5000), Nd at (0.0000, 0.5000, 0.5000), S at (0.2353, 0.3342, 0.7084) and S at (0.2380, 0.0000, 0.7084).



Entry 21:
The following is a GGA-PBE calculation of KPrNd4S8 after structural relaxation, from Alexandria.

The mass density comes out at 3.9 g/cm³. The uncorrected formation energy is -1.90 eV per atom. The size of the total moment comes out at 0.0 μB/cell. Its crystal system is trigonal.

The space group is R3m (No. 160, hexagonal axes) and the conventional cell measures 8.4883, 8.4883 and 20.8815 Å, with angles of 90.00, 90.00 and 120.00 degrees. Symmetry generates all atoms from K at (0.0000, 0.0000, 0.0000), Pr at (0.0000, 0.0000, 0.6296), Nd at (0.0000, 0.0000, 0.2509), Nd at (0.1720, 0.3439, 0.4577), S at (0.0000, 0.0000, 0.3832), S at (0.0000, 0.0000, 0.8596), S at (0.0413, 0.5206, 0.3816) and S at (0.1762, 0.3523, 0.2062).



Entry 22:
The following is a GGA-PBE calculation of KPr2NdS4 after structural relaxation, from Alexandria.

The mass density comes out at 4.8 g/cm³. The uncorrected formation energy is -1.89 eV per atom. The size of the total moment comes out at 0.0 μB/cell. Its crystal system is monoclinic.

The space group is P2/m (No. 10) and the conventional cell measures 7.2275, 4.1205 and 7.2397 Å, with angles of 90.00, 108.85 and 90.00 degrees. Symmetry generates all atoms from K at (0.0000, 0.0000, 0.0000), Pr at (0.5000, 0.0000, 0.5000), Pr at (0.5000, 0.5000, 0.0000), Nd at (0.0000, 0.5000, 0.5000), S at (0.2525, 0.0000, 0.7432) and S at (0.2631, 0.5000, 0.2652).



Entry 23:
The following is a GGA-PBE calculation of KPr4NdS8 after structural relaxation, from Alexandria.

The mass density comes out at 3.8 g/cm³. The uncorrected formation energy is -1.90 eV per atom. The size of the total moment comes out at 0.0 μB/cell. Its crystal system is trigonal.

The space group is R3m (No. 160, hexagonal axes) and the conventional cell measures 8.5475, 8.5475 and 20.8570 Å, with angles of 90.00, 90.00 and 120.00 degrees. Symmetry generates all atoms from K at (0.0000, 0.0000, 0.0000), Pr at (0.0000, 0.0000, 0.2493), Pr at (0.1719, 0.3437, 0.4565), Nd at (0.0000, 0.0000, 0.6285), S at (0.0000, 0.0000, 0.3821), S at (0.0000, 0.0000, 0.8589), S at (0.0430, 0.5215, 0.3791) and S at (0.1772, 0.3544, 0.2057).